<one>
This record from OQMD describes a relaxed structure of BeFeAgB. The functional is PBE.

As for the magnetic moment: 3.526 Bohr magnetons per cell. The density is 7.5 g/cm³.

Geometry as CIF:
```
data_BeFeAgB
_chemical_formula_sum 'Be4 Fe4 Ag4 B4'
_cell_length_a 5.452
_cell_length_b 5.452
_cell_length_c 5.452
_cell_angle_alpha 90.00
_cell_angle_beta 90.00
_cell_angle_gamma 90.00
_space_group_name_H-M_alt 'F -4 3 m'
_space_group_IT_number 216
_space_group_name_Hall 'F -4 2 3'
loop_
_atom_site_label
_atom_site_type_symbol
_atom_site_fract_x
_atom_site_fract_y
_atom_site_fract_z
Be1 Be 0.000 0.000 0.000
Fe1 Fe 0.250 0.250 0.750
Ag1 Ag 0.250 0.250 0.250
B1 B 0.000 0.000 0.500
```

***

<two>
This record from OQMD describes a relaxed structure of BeFeAgB. The functional is PBE.

As for the magnetic moment: 7.935 Bohr magnetons per cell. The density is 6.8 g/cm³.

Geometry as CIF:
```
data_BeFeAgB
_chemical_formula_sum 'Be4 Fe4 Ag4 B4'
_cell_length_a 5.628
_cell_length_b 5.628
_cell_length_c 5.628
_cell_angle_alpha 90.00
_cell_angle_beta 90.00
_cell_angle_gamma 90.00
_space_group_name_H-M_alt 'F -4 3 m'
_space_group_IT_number 216
_space_group_name_Hall 'F -4 2 3'
loop_
_atom_site_label
_atom_site_type_symbol
_atom_site_fract_x
_atom_site_fract_y
_atom_site_fract_z
Be1 Be 0.000 0.000 0.000
Fe1 Fe 0.000 0.000 0.500
Ag1 Ag 0.250 0.250 0.750
B1 B 0.250 0.250 0.250
```

***

Which of them is least stable? Easy: <two>.

***

<one>
This record from OQMD describes a relaxed structure of CoAg2B. The functional is PBE.

As for the magnetic moment: 3.519 Bohr magnetons per cell. The density is 8.9 g/cm³.

Geometry as CIF:
```
data_CoAg2B
_chemical_formula_sum 'Co4 Ag8 B4'
_cell_length_a 5.964
_cell_length_b 5.964
_cell_length_c 5.964
_cell_angle_alpha 90.00
_cell_angle_beta 90.00
_cell_angle_gamma 90.00
_space_group_name_H-M_alt 'F -4 3 m'
_space_group_IT_number 216
_space_group_name_Hall 'F -4 2 3'
loop_
_atom_site_label
_atom_site_type_symbol
_atom_site_fract_x
_atom_site_fract_y
_atom_site_fract_z
Co1 Co 0.000 0.000 0.000
Ag1 Ag 0.000 0.000 0.500
Ag2 Ag 0.250 0.250 0.750
B1 B 0.250 0.250 0.250
```

***

<two>
This record from OQMD describes a relaxed structure of CoAg2B. The functional is PBE.

As for the magnetic moment: 7.336 Bohr magnetons per cell. The density is 8.2 g/cm³.

Geometry as CIF:
```
data_CoAg2B
_chemical_formula_sum 'Co4 Ag8 B4'
_cell_length_a 2.749
_cell_length_b 4.761
_cell_length_c 17.712
_cell_angle_alpha 90.00
_cell_angle_beta 90.00
_cell_angle_gamma 90.00
_space_group_name_H-M_alt 'C m c m'
_space_group_IT_number 63
_space_group_name_Hall '-C 2c 2'
loop_
_atom_site_label
_atom_site_type_symbol
_atom_site_fract_x
_atom_site_fract_y
_atom_site_fract_z
Co1 Co 0.000 0.171 0.250
Ag1 Ag 0.000 0.166 0.101
B1 B 0.000 0.500 0.000
```

***

Which of them is least stable? Easy: <two>.